The following is a PBE-GGA calculation of crystalline ZrSiBr2 at its relaxed geometry, from Alexandria via LeMat-Bulk.

For the formation energy without anion corrections, the calculation gives -0.6728 eV per atom.

Geometry as extended XYZ:
```
4
Lattice="3.747 0.000 0.000 0.000 3.933 0.028 0.000 3.059 7.871" Properties=species:S:1:pos:R:3 pbc="T T T"
Si 0.000 3.771 4.806
Br 0.000 6.462 7.202
Br 1.873 1.485 2.577
Zr 1.873 5.761 5.165
```